First-principles (PBE-GGA) data for a relaxed structure of AlInPdPt2, as listed in Alexandria.

Structure (POSCAR):
```
AlInPdPt2
1.0
4.943 0.000 0.000
0.000 4.943 0.000
0.000 0.000 4.869
Al In Pd Pt
1 1 1 2
Direct
0.000 0.000 0.000 Al
0.500 0.500 0.500 In
0.500 0.500 0.000 Pd
0.000 0.500 0.500 Pt
0.500 0.000 0.500 Pt
```

Computed properties:
formation enthalpy at 0 K: 0.8297 eV/atom
space-group type: No. 123
E: -19.61 eV/cell
density of states at the Fermi level: 3.7 states/eV/cell
size of the total moment: 0.00 μB per formula unit